[1]
# Tm6Ir5Rh

An optimized crystal structure of Tm6Ir5Rh (GGA-PBE, Alexandria via LeMat-Bulk).

The structure in CIF format:
```
data_Tm6Ir5Rh
_chemical_formula_sum 'Tm6 Ir5 Rh1'
_space_group_name_H-M_alt 'P 1 2/m 1'
_space_group_IT_number 10
_cell_length_a 4.6930
_cell_length_b 7.0005
_cell_length_c 7.4233
_cell_angle_alpha 90.00
_cell_angle_beta 108.27
_cell_angle_gamma 90.00
loop_
_space_group_symop_operation_xyz
'x,y,z'
'-x,-y,-z'
'-x,y,-z'
'x,-y,z'
loop_
_atom_site_label
_atom_site_type_symbol
_atom_site_fract_x
_atom_site_fract_y
_atom_site_fract_z
Tm1 Tm 0.0000 0.2504 0.0000
Tm2 Tm 0.3328 0.2498 0.6660
Ir1 Ir 0.1664 0.0000 0.3322
Ir2 Ir 0.1673 0.5000 0.3339
Ir3 Ir 0.5000 0.5000 0.0000
Rh1 Rh 0.5000 0.0000 0.0000
```

Values from the calculation:
Energy of formation: -0.932 eV/atom
Calculated volume: 19.3 A^3/atom

=====

[2]
# Tm4IrRh

An optimized crystal structure of Tm4IrRh (GGA-PBE, Alexandria via LeMat-Bulk).

The structure in CIF format:
```
data_Tm4IrRh
_chemical_formula_sum 'Tm8 Ir2 Rh2'
_space_group_name_H-M_alt 'P 1 21/c 1'
_space_group_IT_number 14
_cell_length_a 6.7530
_cell_length_b 6.7546
_cell_length_c 6.7530
_cell_angle_alpha 90.00
_cell_angle_beta 90.02
_cell_angle_gamma 90.00
loop_
_space_group_symop_operation_xyz
'x,y,z'
'-x,-y,-z'
'-x,y+1/2,-z+1/2'
'x,-y+1/2,z+1/2'
loop_
_atom_site_label
_atom_site_type_symbol
_atom_site_fract_x
_atom_site_fract_y
_atom_site_fract_z
Tm1 Tm 0.1669 0.1674 0.1673
Tm2 Tm 0.3320 0.6677 0.1675
Ir1 Ir 0.0000 0.0000 0.5000
Rh1 Rh 0.5000 0.0000 0.0000
```

Values from the calculation:
Energy of formation: -0.684 eV/atom
Calculated volume: 25.7 A^3/atom

=====

[3]
# Tm6IrRh3

An optimized crystal structure of Tm6IrRh3 (GGA-PBE, Alexandria via LeMat-Bulk).

The structure in CIF format:
```
data_Tm6IrRh3
_chemical_formula_sum 'Tm12 Ir2 Rh6'
_space_group_name_H-M_alt 'P n n m'
_space_group_IT_number 58
_cell_length_a 8.1565
_cell_length_b 11.7298
_cell_length_c 4.6936
_cell_angle_alpha 90.00
_cell_angle_beta 90.00
_cell_angle_gamma 90.00
loop_
_space_group_symop_operation_xyz
'x,y,z'
'-x,-y,-z'
'-x,-y,z'
'x,y,-z'
'x+1/2,-y+1/2,-z+1/2'
'-x+1/2,y+1/2,z+1/2'
'-x+1/2,y+1/2,-z+1/2'
'x+1/2,-y+1/2,z+1/2'
loop_
_atom_site_label
_atom_site_type_symbol
_atom_site_fract_x
_atom_site_fract_y
_atom_site_fract_z
Tm1 Tm 0.0007 0.2473 0.0000
Tm2 Tm 0.1634 0.4125 0.5000
Tm3 Tm 0.1699 0.0817 0.5000
Ir1 Ir 0.0000 0.5000 0.0000
Rh1 Rh 0.0000 0.0000 0.0000
Rh2 Rh 0.1650 0.8365 0.5000
```

Values from the calculation:
Energy of formation: -0.738 eV/atom
Calculated volume: 22.5 A^3/atom

=====

[4]
# Tm3IrRh8

An optimized crystal structure of Tm3IrRh8 (GGA-PBE, Alexandria via LeMat-Bulk).

The structure in CIF format:
```
data_Tm3IrRh8
_chemical_formula_sum 'Tm9 Ir3 Rh24'
_space_group_name_H-M_alt 'R 3 m'
_space_group_IT_number 160
_space_group_name_Hall 'R 3 -2"'
_cell_length_a 5.2464
_cell_length_b 5.2464
_cell_length_c 25.8249
_cell_angle_alpha 90.00
_cell_angle_beta 90.00
_cell_angle_gamma 120.00
loop_
_atom_site_label
_atom_site_type_symbol
_atom_site_fract_x
_atom_site_fract_y
_atom_site_fract_z
Tm1 Tm 0.0000 0.0000 0.0000
Tm2 Tm 0.0000 0.0000 0.1316
Tm3 Tm 0.0000 0.0000 0.5201
Ir1 Ir 0.0000 0.0000 0.6465
Rh1 Rh 0.0000 0.0000 0.3177
Rh2 Rh 0.0000 0.0000 0.8188
Rh3 Rh 0.9998 0.4999 0.5697
Rh4 Rh 0.0018 0.5009 0.0677
```

Values from the calculation:
Energy of formation: -0.492 eV/atom
Calculated volume: 17.1 A^3/atom

=====

[5]
# Tm4Ir2Rh

An optimized crystal structure of Tm4Ir2Rh (GGA-PBE, Alexandria via LeMat-Bulk).

The structure in CIF format:
```
data_Tm4Ir2Rh
_chemical_formula_sum 'Tm12 Ir6 Rh3'
_space_group_name_H-M_alt 'R -3 m'
_space_group_IT_number 166
_space_group_name_Hall '-R 3 2"'
_cell_length_a 4.7461
_cell_length_b 4.7461
_cell_length_c 23.3698
_cell_angle_alpha 90.00
_cell_angle_beta 90.00
_cell_angle_gamma 120.00
loop_
_atom_site_label
_atom_site_type_symbol
_atom_site_fract_x
_atom_site_fract_y
_atom_site_fract_z
Tm1 Tm 0.0000 0.0000 0.1236
Tm2 Tm 0.0000 0.0000 0.3742
Ir1 Ir 0.0000 0.0000 0.2498
Rh1 Rh 0.0000 0.0000 0.5000
```

Values from the calculation:
Energy of formation: -0.922 eV/atom
Calculated volume: 21.7 A^3/atom

=====

[6]
# Tm6Ir2Rh

An optimized crystal structure of Tm6Ir2Rh (GGA-PBE, Alexandria via LeMat-Bulk).

The structure in CIF format:
```
data_Tm6Ir2Rh
_chemical_formula_sum 'Tm12 Ir4 Rh2'
_space_group_name_H-M_alt 'P 1 21/c 1'
_space_group_IT_number 14
_cell_length_a 6.5304
_cell_length_b 7.2826
_cell_length_c 11.1761
_cell_angle_alpha 90.00
_cell_angle_beta 123.07
_cell_angle_gamma 90.00
loop_
_space_group_symop_operation_xyz
'x,y,z'
'-x,-y,-z'
'-x,y+1/2,-z+1/2'
'x,-y+1/2,z+1/2'
loop_
_atom_site_label
_atom_site_type_symbol
_atom_site_fract_x
_atom_site_fract_y
_atom_site_fract_z
Tm1 Tm 0.0822 0.0463 0.2424
Tm2 Tm 0.2294 0.6735 0.0746
Tm3 Tm 0.3889 0.1708 0.0639
Ir1 Ir 0.3086 0.1210 0.7670
Rh1 Rh 0.5000 0.0000 0.5000
```

Values from the calculation:
Energy of formation: -0.686 eV/atom
Calculated volume: 24.7 A^3/atom

=====

[7]
# Tm6IrRh2

An optimized crystal structure of Tm6IrRh2 (GGA-PBE, Alexandria via LeMat-Bulk).

The structure in CIF format:
```
data_Tm6IrRh2
_chemical_formula_sum 'Tm24 Ir4 Rh8'
_space_group_name_H-M_alt 'I m m m'
_space_group_IT_number 71
_space_group_name_Hall '-I 2 2'
_cell_length_a 9.2132
_cell_length_b 9.3062
_cell_length_c 9.7295
_cell_angle_alpha 90.00
_cell_angle_beta 90.00
_cell_angle_gamma 90.00
loop_
_atom_site_label
_atom_site_type_symbol
_atom_site_fract_x
_atom_site_fract_y
_atom_site_fract_z
Tm1 Tm 0.0000 0.1976 0.1699
Tm2 Tm 0.1751 0.2374 0.5000
Tm3 Tm 0.1879 0.5000 0.2435
Ir1 Ir 0.0000 0.5000 0.0000
Ir2 Ir 0.0000 0.5000 0.5000
Rh1 Rh 0.0000 0.0000 0.3678
Rh2 Rh 0.1641 0.0000 0.0000
```

Values from the calculation:
Energy of formation: -0.692 eV/atom
Calculated volume: 23.2 A^3/atom

=====

[8]
# Tm4IrRh2

An optimized crystal structure of Tm4IrRh2 (GGA-PBE, Alexandria via LeMat-Bulk).

The structure in CIF format:
```
data_Tm4IrRh2
_chemical_formula_sum 'Tm8 Ir2 Rh4'
_space_group_name_H-M_alt 'I 4/m m m'
_space_group_IT_number 139
_space_group_name_Hall '-I 4 2'
_cell_length_a 6.7227
_cell_length_b 6.7227
_cell_length_c 6.7762
_cell_angle_alpha 90.00
_cell_angle_beta 90.00
_cell_angle_gamma 90.00
loop_
_atom_site_label
_atom_site_type_symbol
_atom_site_fract_x
_atom_site_fract_y
_atom_site_fract_z
Tm1 Tm 0.2500 0.2500 0.2500
Ir1 Ir 0.0000 0.0000 0.0000
Rh1 Rh 0.0000 0.5000 0.0000
```

Values from the calculation:
Energy of formation: -0.810 eV/atom
Calculated volume: 21.9 A^3/atom

=====

[9]
# TmIrRh2

An optimized crystal structure of TmIrRh2 (GGA-PBE, Alexandria via LeMat-Bulk).

The structure in CIF format:
```
data_TmIrRh2
_chemical_formula_sum 'Tm3 Ir3 Rh6'
_space_group_name_H-M_alt 'R -3 m'
_space_group_IT_number 166
_space_group_name_Hall '-R 3 2"'
_cell_length_a 4.5042
_cell_length_b 4.5042
_cell_length_c 11.6616
_cell_angle_alpha 90.00
_cell_angle_beta 90.00
_cell_angle_gamma 120.00
loop_
_atom_site_label
_atom_site_type_symbol
_atom_site_fract_x
_atom_site_fract_y
_atom_site_fract_z
Tm1 Tm 0.0000 0.0000 0.0000
Ir1 Ir 0.0000 0.0000 0.5000
Rh1 Rh 0.0000 0.0000 0.2271
```

Values from the calculation:
Energy of formation: -0.267 eV/atom
Calculated volume: 17.1 A^3/atom

=====

[10]
# Tm4IrRh

An optimized crystal structure of Tm4IrRh (GGA-PBE, Alexandria via LeMat-Bulk).

The structure in CIF format:
```
data_Tm4IrRh
_chemical_formula_sum 'Tm16 Ir4 Rh4'
_space_group_name_H-M_alt 'C 1 2/c 1'
_space_group_IT_number 15
_cell_length_a 8.8524
_cell_length_b 12.8685
_cell_length_c 6.1670
_cell_angle_alpha 90.00
_cell_angle_beta 124.20
_cell_angle_gamma 90.00
loop_
_space_group_symop_operation_xyz
'x,y,z'
'-x,-y,-z'
'-x,y,-z+1/2'
'x,-y,z+1/2'
'x+1/2,y+1/2,z'
'-x+1/2,-y+1/2,-z'
'-x+1/2,y+1/2,-z+1/2'
'x+1/2,-y+1/2,z+1/2'
loop_
_atom_site_label
_atom_site_type_symbol
_atom_site_fract_x
_atom_site_fract_y
_atom_site_fract_z
Tm1 Tm 0.1335 0.1801 0.1021
Tm2 Tm 0.1934 0.4387 0.2631
Ir1 Ir 0.0000 0.3630 0.7500
Rh1 Rh 0.0000 0.9995 0.2500
```

Values from the calculation:
Energy of formation: -0.732 eV/atom
Calculated volume: 24.2 A^3/atom

=====

[11]
# TmIrRh

An optimized crystal structure of TmIrRh (GGA-PBE, Alexandria via LeMat-Bulk).

The structure in CIF format:
```
data_TmIrRh
_chemical_formula_sum 'Tm4 Ir4 Rh4'
_space_group_name_H-M_alt 'I m m a'
_space_group_IT_number 74
_space_group_name_Hall '-I 2b 2'
_cell_length_a 5.3060
_cell_length_b 5.3109
_cell_length_c 7.5380
_cell_angle_alpha 90.00
_cell_angle_beta 90.00
_cell_angle_gamma 90.00
loop_
_atom_site_label
_atom_site_type_symbol
_atom_site_fract_x
_atom_site_fract_y
_atom_site_fract_z
Tm1 Tm 0.0000 0.2500 0.1262
Ir1 Ir 0.0000 0.0000 0.5000
Rh1 Rh 0.2500 0.2500 0.7500
```

Values from the calculation:
Energy of formation: -0.803 eV/atom
Calculated volume: 17.7 A^3/atom

=====

[12]
# Tm4IrRh2

An optimized crystal structure of Tm4IrRh2 (GGA-PBE, Alexandria via LeMat-Bulk).

The structure in CIF format:
```
data_Tm4IrRh2
_chemical_formula_sum 'Tm16 Ir4 Rh8'
_space_group_name_H-M_alt 'I 21 21 21'
_space_group_IT_number 24
_cell_length_a 8.4237
_cell_length_b 8.4802
_cell_length_c 8.4815
_cell_angle_alpha 90.00
_cell_angle_beta 90.00
_cell_angle_gamma 90.00
loop_
_space_group_symop_operation_xyz
'x,y,z'
'-x,-y+1/2,z'
'x,-y,-z+1/2'
'-x,y+1/2,-z+1/2'
'x+1/2,y+1/2,z+1/2'
'-x+1/2,-y,z+1/2'
'x+1/2,-y+1/2,-z'
'-x+1/2,y,-z'
loop_
_atom_site_label
_atom_site_type_symbol
_atom_site_fract_x
_atom_site_fract_y
_atom_site_fract_z
Tm1 Tm 0.0648 0.0626 0.4365
Tm2 Tm 0.1828 0.3160 0.8144
Ir1 Ir 0.1299 0.0000 0.7500
Rh1 Rh 0.0000 0.2500 0.1336
Rh2 Rh 0.2500 0.3741 0.5000
```

Values from the calculation:
Energy of formation: -0.812 eV/atom
Calculated volume: 21.6 A^3/atom

=====

no.,magnetization (μB per formula unit)
1,0.0
2,0.0
3,0.0
4,0.0
5,0.0
6,0.0
7,0.0
8,0.0
9,0.0
10,0.0
11,0.0
12,0.0